Entry 1:
Material: Mo2Pt7Rh2
Method: DFT, PBE-GGA
State: relaxed

Unit cell a=9.4087 b=7.9624 c=4.9383 alpha=90.00 beta=100.94 gamma=90.00
Closest atoms and distances in Å follow each position.
Space group C2/m (No. 12)
Asymmetric unit:
Mo (0.0000, 0.1644, 0.0000) x4  1 Mo 2.62, 2 Rh 2.69, 6 Pt 2.72-2.87
Pt (0.0000, 0.0000, 0.5000) x2  4 Pt 2.70, 2 Rh 2.70, 4 Mo 2.79
Pt (0.0184, 0.5000, 0.2584) x4  4 Pt 2.48-2.71, 1 Rh 2.66
Pt (0.2347, 0.1724, 0.7535) x8  3 Rh 2.62-2.86, 5 Pt 2.70-2.85, 2 Mo 2.72-2.87
Rh (0.2363, 0.0000, 0.2622) x4  8 Pt 2.62-2.86, 2 Mo 2.69

Values from the calculation:
- Magnetic moment: 0.0 Bohr magnetons per cell
- Energy: -7.10 eV per atom
- Relative energy among the computed polymorphs: 125 meV per atom
- Density of states at the Fermi level: 24.1 states/eV per cell
- Energy of formation from the pure elements: 53 meV per atom
- Calculated density: 16122 kg/m³


Entry 2:
Material: MoPtRh4
Method: DFT, PBE-GGA
State: relaxed

Unit cell a=4.2592 b=12.4610 c=7.4276 alpha=90.00 beta=90.00 gamma=90.00
Closest atoms and distances in Å follow each position.
Space group Cmcm (No. 63)
Asymmetric unit:
Mo (0.0000, 0.1624, 0.2500) x4  4 Rh 2.44-2.56, 1 Pt 2.56
Pt (0.0000, 0.3677, 0.2500) x4  5 Rh 2.48-2.73, 1 Mo 2.56
Rh (0.0000, 0.0000, 0.0000) x4  2 Mo 2.75, 6 Rh 2.84-2.95
Rh (0.0000, 0.2233, 0.5792) x8  3 Rh 2.52-2.54, 1 Mo 2.56, 2 Pt 2.73
Rh (0.0000, 0.4331, 0.7500) x4  2 Mo 2.44, 1 Pt 2.48

Values from the calculation:
- Magnetic moment: 0.0 Bohr magnetons per cell
- Energy: -7.36 eV per atom
- Relative energy among the computed polymorphs: 343 meV per atom
- Density of states at the Fermi level: 31.7 states/eV per cell
- Energy of formation from the pure elements: 357 meV per atom
- Calculated density: 11839 kg/m³


Entry 3:
Material: Mo4Pt5Rh4
Method: DFT, PBE-GGA
State: relaxed

Unit cell a=10.0020 b=10.0020 c=3.9402 alpha=90.00 beta=90.00 gamma=90.00
Closest atoms and distances in Å follow each position.
Space group I4/m (No. 87)
Asymmetric unit:
Mo (0.1586, 0.7635, 0.0000) x8  6 Pt 2.66-2.85, 2 Mo 2.70, 4 Rh 2.71-2.75
Pt (0.0000, 0.0000, 0.0000) x2  8 Pt 2.80, 4 Mo 2.85
Pt (0.0416, 0.1944, 0.5000) x8  5 Mo 2.66-2.84, 3 Rh 2.71-2.81, 4 Pt 2.80-2.81
Rh (0.0770, 0.3778, 0.0000) x8  4 Mo 2.71-2.75, 3 Pt 2.71-2.81, 5 Rh 2.84-2.89

Values from the calculation:
- Magnetic moment: 0.0 Bohr magnetons per cell
- Energy: -8.15 eV per atom
- Density of states at the Fermi level: 24.2 states/eV per cell
- Energy of formation from the pure elements: -234 meV per atom
- Calculated density: 14920 kg/m³


Entry 4:
Material: Mo2PtRh
Method: DFT, PBE-GGA
State: relaxed

Unit cell a=2.7564 b=4.4704 c=4.9069 alpha=90.00 beta=90.00 gamma=90.00
Closest atoms and distances in Å follow each position.
Space group Pmm2 (No. 25)
Asymmetric unit:
Mo (0.0000, 0.0000, 0.0000) x1  4 Pt 2.75, 4 Mo 2.76-2.77, 4 Rh 2.79-2.84
Mo (0.0000, 0.5000, 0.3331) x1  4 Rh 2.74, 4 Mo 2.76-2.77, 4 Pt 2.81-2.82
Pt (0.5000, 0.5000, 0.8328) x1  8 Mo 2.75-2.82, 2 Pt 2.76, 2 Rh 2.78
Rh (0.5000, 0.0000, 0.4948) x1  8 Mo 2.74-2.84, 2 Rh 2.76, 2 Pt 2.78

Values from the calculation:
- Magnetic moment: 0.0 Bohr magnetons per cell
- Energy: -9.05 eV per atom
- Relative energy among the computed polymorphs: 0 meV per atom
- Density of states at the Fermi level: 2.0 states/eV per cell
- Energy of formation from the pure elements: -291 meV per atom
- Calculated density: 13453 kg/m³


Entry 5:
Material: MoPtRh4
Method: DFT, PBE-GGA
State: relaxed

Unit cell a=7.1501 b=7.1501 c=7.1501 alpha=90.00 beta=90.00 gamma=90.00
Closest atoms and distances in Å follow each position.
Space group F-43m (No. 216)
Asymmetric unit:
Mo (0.0000, 0.0000, 0.0000) x4  12 Rh 2.96, 4 Pt 3.10
Pt (0.2500, 0.2500, 0.7500) x4  12 Rh 2.96, 4 Mo 3.10
Rh (0.1249, 0.1249, 0.3751) x16  6 Rh 2.53

Values from the calculation:
- Magnetic moment: 0.0 Bohr magnetons per cell
- Energy: -7.52 eV per atom
- Relative energy among the computed polymorphs: 182 meV per atom
- Density of states at the Fermi level: 36.0 states/eV per cell
- Energy of formation from the pure elements: 196 meV per atom
- Calculated density: 12768 kg/m³


Entry 6:
Material: MoPtRh
Method: DFT, PBE-GGA
State: relaxed

Unit cell a=2.7557 b=2.7557 c=11.9061 alpha=90.00 beta=90.00 gamma=90.00
Closest atoms and distances in Å follow each position.
Space group I4mm (No. 107)
Asymmetric unit:
Mo (0.0000, 0.0000, 0.0000) x2  4 Rh 2.70, 4 Mo 2.76, 4 Pt 2.78
Pt (0.0000, 0.0000, 0.3336) x2  4 Pt 2.76, 4 Mo 2.78, 4 Rh 2.86
Rh (0.0000, 0.0000, 0.6574) x2  4 Mo 2.70, 4 Rh 2.76, 4 Pt 2.86

Values from the calculation:
- Magnetic moment: 0.0 Bohr magnetons per cell
- Energy: -8.35 eV per atom
- Relative energy among the computed polymorphs: 38 meV per atom
- Density of states at the Fermi level: 3.1 states/eV per cell
- Energy of formation from the pure elements: -278 meV per atom
- Calculated density: 14469 kg/m³


Entry 7:
Material: MoPt2Rh8
Method: DFT, PBE-GGA
State: relaxed

Unit cell a=6.9709 b=12.2760 c=4.5693 alpha=90.00 beta=119.50 gamma=90.00
Closest atoms and distances in Å follow each position.
Space group C2/m (No. 12)
Asymmetric unit:
Mo (0.0000, 0.0000, 0.0000) x2  4 Rh 2.52-2.57
Pt (0.0000, 0.3088, 0.5000) x4  8 Rh 2.61-2.73
Rh (0.0000, 0.2053, 0.0000) x4  1 Mo 2.52, 2 Pt 2.61, 2 Rh 2.81
Rh (0.0857, 0.5000, 0.8072) x4  6 Rh 2.45-2.74, 1 Mo 2.57, 2 Pt 2.65
Rh (0.2054, 0.1108, 0.6444) x8  4 Rh 2.49-2.74, 2 Pt 2.64-2.73

Values from the calculation:
- Magnetic moment: 0.0 Bohr magnetons per cell
- Energy: -7.22 eV per atom
- Density of states at the Fermi level: 31.5 states/eV per cell
- Energy of formation from the pure elements: 214 meV per atom
- Calculated density: 12778 kg/m³


Entry 8:
Material: Mo5PtRh4
Method: DFT, PBE-GGA
State: relaxed

Unit cell a=2.7458 b=2.7458 c=19.8493 alpha=90.00 beta=90.00 gamma=90.00
Closest atoms and distances in Å follow each position.
Space group P4/mmm (No. 123)
Asymmetric unit:
Mo (0.0000, 0.0000, 0.0000) x1  4 Mo 2.75, 8 Rh 2.77
Mo (0.0000, 0.0000, 0.1981) x2  4 Mo 2.75, 8 Rh 2.76-2.78
Mo (0.0000, 0.0000, 0.3956) x2  4 Rh 2.74, 4 Mo 2.75, 4 Pt 2.84
Pt (0.5000, 0.5000, 0.5000) x1  4 Pt 2.75, 8 Mo 2.84
Rh (0.5000, 0.5000, 0.0994) x2  4 Rh 2.75, 8 Mo 2.76-2.77
Rh (0.5000, 0.5000, 0.2981) x2  8 Mo 2.74-2.78, 4 Rh 2.75

Values from the calculation:
- Magnetic moment: 0.0 Bohr magnetons per cell
- Energy: -9.16 eV per atom
- Density of states at the Fermi level: 7.7 states/eV per cell
- Energy of formation from the pure elements: -204 meV per atom
- Calculated density: 12055 kg/m³